Here is crystalline AcTlMo2O8 at its relaxed geometry from Alexandria via LeMat-Bulk. Energies are from GGA+U.

## Properties
Uncorrected energy, eV/atom: -7.0248
Volume, Å³/atom: 22.31

Structure (CIF):
```
data_AcTlMo2O8
_space_group_name_H-M_alt 'P -3 m 1'
_space_group_IT_number 164
_space_group_name_Hall '-P 3 2"'
_cell_length_a 6.2824
_cell_length_b 6.2824
_cell_length_c 7.8311
_cell_angle_alpha 90.00
_cell_angle_beta 90.00
_cell_angle_gamma 120.00
loop_
_atom_site_label
_atom_site_fract_x
_atom_site_fract_y
_atom_site_fract_z
Ac1 0.0000 0.0000 0.0000
Tl1 0.0000 0.0000 0.5000
Mo1 0.3333 0.6667 0.7195
O1 0.1755 0.3510 0.7959
O2 0.3333 0.6667 0.4968
```